# 1
Here is a geometry-optimized Sc2NiN structure from Alexandria. Energies are from PBE.

- Formation energy without anion corrections: -38 meV/atom

a = 7.144 Å, b = 7.144 Å, c = 7.144 Å
α = 30.87°, β = 30.87°, γ = 30.87°
Sites, in units of the cell vectors:
Sc (0.091, 0.091, 0.091)
Sc (0.909, 0.909, 0.909)
Ni (0.500, 0.500, 0.500)
N (0.000, 0.000, 0.000)

***

# 2
Here is a geometry-optimized Sc2NiN structure from Alexandria. Energies are from PBE.

- Formation energy without anion corrections: -733 meV/atom

a = 5.588 Å, b = 5.588 Å, c = 5.588 Å
α = 114.89°, β = 114.89°, γ = 99.11°
Sites, in units of the cell vectors:
Sc (0.060, 0.125, 0.435)
Sc (0.375, 0.940, 0.065)
Sc (0.690, 0.625, 0.565)
Sc (0.875, 0.310, 0.935)
Ni (0.250, 0.750, 0.500)
Ni (0.500, 0.500, 0.000)
N (0.000, 0.000, 0.000)
N (0.750, 0.250, 0.500)

***

# 3
Here is a geometry-optimized ScNiSeN2 structure from Alexandria. Energies are from PBE.

- Formation energy without anion corrections: 423 meV/atom
- Excess energy over the best structure of this formula in the dataset: 0.000 eV/atom

a = 3.790 Å, b = 3.790 Å, c = 4.729 Å
α = 90.00°, β = 90.00°, γ = 90.00°
Sites, in units of the cell vectors:
Sc (0.000, 0.000, 0.000)
Ni (0.500, 0.500, 0.500)
Se (0.500, 0.500, 0.000)
N (0.000, 0.500, 0.500)
N (0.500, 0.000, 0.500)

***

# 4
Here is a geometry-optimized ScNiSe2N structure from Alexandria. Energies are from PBE.

- Formation energy without anion corrections: -83 meV/atom
- Excess energy over the best structure of this formula in the dataset: 0.064 eV/atom

a = 4.722 Å, b = 4.722 Å, c = 3.581 Å
α = 90.00°, β = 90.00°, γ = 90.00°
Sites, in units of the cell vectors:
Sc (0.000, 0.000, 0.000)
Ni (0.500, 0.500, 0.000)
Se (0.000, 0.500, 0.500)
Se (0.500, 0.000, 0.500)
N (0.500, 0.500, 0.500)

***

# 5
Here is a geometry-optimized ScNiSe2N structure from Alexandria. Energies are from PBE.

- Formation energy without anion corrections: 521 meV/atom
- Excess energy over the best structure of this formula in the dataset: 0.668 eV/atom

a = 5.177 Å, b = 5.177 Å, c = 3.970 Å
α = 90.00°, β = 90.00°, γ = 90.00°
Sites, in units of the cell vectors:
Sc (0.000, 0.000, 0.000)
Ni (0.500, 0.500, 0.500)
Se (0.000, 0.500, 0.000)
Se (0.500, 0.000, 0.000)
N (0.000, 0.000, 0.500)

***

# 6
Here is a geometry-optimized ScNiSe2N structure from Alexandria. Energies are from PBE.

- Formation energy without anion corrections: -147 meV/atom
- Excess energy over the best structure of this formula in the dataset: 0.000 eV/atom

a = 4.890 Å, b = 4.890 Å, c = 3.531 Å
α = 90.00°, β = 90.00°, γ = 90.00°
Sites, in units of the cell vectors:
Sc (0.000, 0.000, 0.000)
Ni (0.500, 0.500, 0.500)
Se (0.000, 0.500, 0.500)
Se (0.500, 0.000, 0.500)
N (0.500, 0.500, 0.000)

***

# 7
Here is a geometry-optimized ScNiSeN2 structure from Alexandria. Energies are from PBE.

- Formation energy without anion corrections: 935 meV/atom
- Excess energy over the best structure of this formula in the dataset: 0.512 eV/atom

a = 4.050 Å, b = 4.050 Å, c = 5.480 Å
α = 90.00°, β = 90.00°, γ = 90.00°
Sites, in units of the cell vectors:
Sc (0.000, 0.000, 0.000)
Ni (0.500, 0.500, 0.500)
Se (0.000, 0.000, 0.500)
N (0.000, 0.500, 0.000)
N (0.500, 0.000, 0.000)

***

# 8
Here is a geometry-optimized ScNiTeN2 structure from Alexandria. Energies are from PBE.

- Formation energy without anion corrections: 913 meV/atom
- Excess energy over the best structure of this formula in the dataset: 0.185 eV/atom

a = 4.000 Å, b = 4.000 Å, c = 6.100 Å
α = 90.00°, β = 90.00°, γ = 90.00°
Sites, in units of the cell vectors:
Sc (0.000, 0.000, 0.000)
Ni (0.500, 0.500, 0.500)
Te (0.000, 0.000, 0.500)
N (0.000, 0.500, 0.000)
N (0.500, 0.000, 0.000)

***

# 9
Here is a geometry-optimized ScNiTe2N structure from Alexandria. Energies are from PBE.

- Formation energy without anion corrections: 29 meV/atom
- Excess energy over the best structure of this formula in the dataset: 0.000 eV/atom

a = 5.322 Å, b = 5.322 Å, c = 3.522 Å
α = 90.00°, β = 90.00°, γ = 90.00°
Sites, in units of the cell vectors:
Sc (0.000, 0.000, 0.000)
Ni (0.500, 0.500, 0.500)
Te (0.000, 0.500, 0.500)
Te (0.500, 0.000, 0.500)
N (0.500, 0.500, 0.000)

***

# 10
Here is a geometry-optimized ScNiTeN2 structure from Alexandria. Energies are from PBE.

- Formation energy without anion corrections: 728 meV/atom
- Excess energy over the best structure of this formula in the dataset: 0.000 eV/atom

a = 3.924 Å, b = 3.924 Å, c = 4.984 Å
α = 90.00°, β = 90.00°, γ = 90.00°
Sites, in units of the cell vectors:
Sc (0.000, 0.000, 0.000)
Ni (0.500, 0.500, 0.500)
Te (0.500, 0.500, 0.000)
N (0.000, 0.500, 0.500)
N (0.500, 0.000, 0.500)

***

# 11
Here is a geometry-optimized ScNiTe2N structure from Alexandria. Energies are from PBE.

- Formation energy without anion corrections: 562 meV/atom
- Excess energy over the best structure of this formula in the dataset: 0.533 eV/atom

a = 5.641 Å, b = 5.641 Å, c = 3.821 Å
α = 90.00°, β = 90.00°, γ = 90.00°
Sites, in units of the cell vectors:
Sc (0.000, 0.000, 0.000)
Ni (0.500, 0.500, 0.500)
Te (0.000, 0.500, 0.000)
Te (0.500, 0.000, 0.000)
N (0.000, 0.000, 0.500)

***

# 12
Here is a geometry-optimized Sc2TiNiN structure from Alexandria. Energies are from PBE.

- Formation energy without anion corrections: -820 meV/atom

a = 4.383 Å, b = 4.383 Å, c = 4.005 Å
α = 90.00°, β = 90.00°, γ = 90.00°
Sites, in units of the cell vectors:
Sc (0.000, 0.500, 0.000)
Sc (0.500, 0.000, 0.000)
Ti (0.000, 0.000, 0.500)
Ni (0.500, 0.500, 0.500)
N (0.000, 0.000, 0.000)

***

# 13
Here is a geometry-optimized YSc2NiN structure from Alexandria. Energies are from PBE.

- Formation energy without anion corrections: -795 meV/atom

a = 4.299 Å, b = 4.299 Å, c = 4.865 Å
α = 90.00°, β = 90.00°, γ = 90.00°
Sites, in units of the cell vectors:
Y (0.000, 0.000, 0.000)
Sc (0.000, 0.500, 0.500)
Sc (0.500, 0.000, 0.500)
Ni (0.500, 0.500, 0.000)
N (0.000, 0.000, 0.500)

***

# 14
Here is a geometry-optimized ZrSc2NiN structure from Alexandria. Energies are from PBE.

- Formation energy without anion corrections: -796 meV/atom

a = 4.298 Å, b = 4.298 Å, c = 4.493 Å
α = 90.00°, β = 90.00°, γ = 90.00°
Sites, in units of the cell vectors:
Zr (0.000, 0.000, 0.000)
Sc (0.000, 0.500, 0.500)
Sc (0.500, 0.000, 0.500)
Ni (0.500, 0.500, 0.000)
N (0.000, 0.000, 0.500)

***

# 15
Here is a geometry-optimized NiSe2N2 structure from Alexandria. Energies are from PBE.

- Formation energy without anion corrections: -132 meV/atom
- Excess energy over the best structure of this formula in the dataset: 0.000 eV/atom

a = 3.554 Å, b = 3.554 Å, c = 10.500 Å
α = 93.00°, β = 93.00°, γ = 59.92°
Sites, in units of the cell vectors:
Ni (0.000, 0.000, 0.000)
Se (0.345, 0.345, 0.118)
Se (0.655, 0.655, 0.882)
N (0.030, 0.030, 0.451)
N (0.970, 0.970, 0.549)